Pr6PbI8 | GGA-PBE | optimized geometry

abc: 7.7954 7.7954 12.4850
angles: 71.81 71.81 60.00
Positions (direct):
Pr 0.7166 0.0511 0.8470
Pr 0.2834 0.9489 0.1530
I 0.2206 0.5625 0.3253
I 0.1084 0.7794 0.6747
Pr 0.6147 0.2834 0.1530
Pr 0.0511 0.3853 0.8470
I 0.4375 0.1084 0.6747
Pb 0.0000 0.0000 0.0000
I 0.3333 0.3333 0.0001
I 0.8916 0.2206 0.3253
Pr 0.9489 0.6147 0.1530
I 0.5625 0.8916 0.3253
I 0.6667 0.6667 0.9999
Pr 0.3853 0.7166 0.8470
I 0.7794 0.4375 0.6747

Calculated values
Calculated volume ... 612.9 Å³ per cell
Raw formation energy ... -25.5 kcal/mol of atoms